No. 1
ZnCuOs2 | SCAN | PBEsol geometry

Cell: 2.7124 4.5639 4.5756 Å, 98.08 90.00 107.29°
Closest atoms and distances in Å follow each position.
Element x y z (fractional)
Zn1 0.5005 0.0009 0.4725  3 Cu 2.46-2.63, 5 Os 2.65-2.73, 2 Zn 2.71
Os1 0.9975 0.9950 0.9742  5 Os 2.53-2.71, 4 Zn 2.65-2.67, 3 Cu 2.74-2.76
Os2 0.2540 0.5080 0.7792  5 Os 2.53-2.71, 4 Cu 2.65-2.67, 3 Zn 2.73-2.79
Cu1 0.7480 0.4961 0.2741  3 Zn 2.46-2.63, 5 Os 2.65-2.74, 2 Cu 2.71

Results
Energy of formation   0.2294 eV per atom
Uncorrected energy   -42.8892 eV/atom
Total magnetic moment   0.00 Bohr magnetons per cell
Space-group type   Cm

---

No. 2
Tb3GaCo3 | SCAN | PBEsol geometry

Cell: 4.0284 5.3053 12.6627 Å, 90.00 90.00 112.31°
Closest atoms and distances in Å follow each position.
Element x y z (fractional)
Tb1 0.7933 0.5866 0.8961  6 Co 2.79-2.89
Tb2 0.2067 0.4134 0.3961  6 Co 2.79-2.89
Co1 0.9175 0.8351 0.0940  1 Co 2.31, 2 Ga 2.48
Tb3 0.7933 0.5866 0.6039  6 Co 2.79-2.89
Co2 0.7948 0.5897 0.2500  2 Co 2.31
Co3 0.0825 0.1649 0.9060  1 Co 2.31, 2 Ga 2.48
Co4 0.2052 0.4103 0.7500  2 Co 2.31
Tb4 0.5048 0.0096 0.7500  7 Co 2.82-2.94
Ga1 0.5000 0.0000 0.5000  4 Co 2.48
Tb5 0.2067 0.4134 0.1039  6 Co 2.79-2.89
Co5 0.9175 0.8351 0.4060  1 Co 2.31, 2 Ga 2.48
Ga2 0.5000 0.0000 0.0000  4 Co 2.48
Co6 0.0825 0.1649 0.5940  1 Co 2.31, 2 Ga 2.48
Tb6 0.4952 0.9904 0.2500  7 Co 2.82-2.94

Results
Energy of formation   -0.2560 eV per atom
Uncorrected energy   -30.0483 eV/atom
Total magnetic moment   0.02 Bohr magnetons per cell
Space-group type   Cmcm

---

No. 3
KRe | SCAN | PBEsol geometry

Cell: 2.9082 2.9082 11.9311 Å, 90.00 90.00 120.00°
Closest atoms and distances in Å follow each position.
Element x y z (fractional)
Re1 0.6667 0.3333 0.4174  3 Re 2.59
K1 0.6667 0.3333 0.8304  6 K 2.91
Re2 0.3333 0.6667 0.5826  3 Re 2.59
K2 0.3333 0.6667 0.1696  6 K 2.91

Results
Energy of formation   1.1145 eV per atom
Uncorrected energy   -38.5986 eV/atom
Total magnetic moment   0.00 Bohr magnetons per cell
Space-group type   P-3m1

---

No. 4
BaAl2CoAu | SCAN | PBEsol geometry

Cell: 4.5816 4.5816 5.4711 Å, 90.00 90.00 90.00°
Closest atoms and distances in Å follow each position.
Element x y z (fractional)
Co1 0.0000 0.0000 0.0000  4 Al 2.29
Al1 0.0000 0.5000 0.0000  2 Co 2.29
Al2 0.5000 0.0000 0.0000  2 Co 2.29
Ba1 0.0000 0.0000 0.5000  2 Co 2.74
Au1 0.5000 0.5000 0.5000  4 Ba 3.24, 8 Al 3.57

Results
Energy of formation   -0.0088 eV per atom
Uncorrected energy   -28.3118 eV/atom
Total magnetic moment   0.00 Bohr magnetons per cell
Space-group type   P4/mmm

---

No. 5
NaYPO2 | SCAN | PBEsol geometry

Cell: 4.1155 4.1155 4.4498 Å, 90.00 90.00 90.00°
Closest atoms and distances in Å follow each position.
Element x y z (fractional)
O1 0.0000 0.5000 0.0000  2 Na 2.06
O2 0.5000 0.0000 0.0000  2 Na 2.06
Na1 0.0000 0.0000 0.0000  4 O 2.06, 2 P 2.22
P1 0.0000 0.0000 0.5000  2 Na 2.22
Y1 0.5000 0.5000 0.5000  4 P 2.91, 8 O 3.03

Results
Uncorrected energy   -11.4587 eV/atom
Total magnetic moment   0.99 Bohr magnetons per cell
ΔE_f (raw)   -0.475 eV per atom
Space-group type   P4/mmm

---

No. 6
LiSiMo | SCAN | PBEsol geometry

Cell: 4.0351 4.0351 4.0351 Å, 60.00 60.00 60.00°
Closest atoms and distances in Å follow each position.
Element x y z (fractional)
Li1 0.0000 0.0000 0.0000  4 Si 2.47
Mo1 0.5000 0.5000 0.5000  4 Si 2.47
Si1 0.7500 0.7500 0.7500  4 Mo 2.47, 4 Li 2.47

Results
Uncorrected energy   -15.4991 eV/atom
Total magnetic moment   1.33 Bohr magnetons per cell
ΔE_f (raw)   0.265 eV per atom
Space-group type   F-43m

---

No. 7
SrNiTe2 | SCAN | PBEsol geometry

Cell: 3.9314 6.2392 5.5443 Å, 112.77 110.77 90.00°
Closest atoms and distances in Å follow each position.
Element x y z (fractional)
Te1 0.2683 0.7315 0.5365  2 Ni 2.53
Te2 0.9817 0.2685 0.9634  2 Ni 2.53
Ni1 0.6250 0.5000 0.2500  4 Te 2.53
Sr1 0.6250 0.0001 0.2500  2 Ni 3.12, 6 Te 3.31-3.37

Results
Uncorrected energy   -29.0363 eV/atom
Total magnetic moment   0.00 Bohr magnetons per cell
ΔE_f (raw)   -0.799 eV per atom
Space-group type   C2/m

---

No. 8
MnSb2Pb | SCAN | PBEsol geometry

Cell: 3.9787 4.9655 4.9655 Å, 90.00 90.00 90.00°
Closest atoms and distances in Å follow each position.
Element x y z (fractional)
Sb1 0.0000 0.0000 0.5000  4 Mn 3.18, 4 Pb 3.18, 4 Sb 3.51
Sb2 0.0000 0.5000 0.0000  4 Pb 3.18, 4 Mn 3.18, 4 Sb 3.51
Pb1 0.5000 0.0000 0.0000  8 Sb 3.18, 4 Mn 3.51
Mn1 0.5000 0.5000 0.5000  8 Sb 3.18, 4 Pb 3.51

Results
Uncorrected energy   -41.9248 eV/atom
Total magnetic moment   4.45 Bohr magnetons per cell
ΔE_f (raw)   0.215 eV per atom
Space-group type   P4/mmm

---

No. 9
BaZrTi2 | SCAN | PBEsol geometry

Cell: 5.0261 5.0261 5.0261 Å, 60.00 60.00 60.00°
Closest atoms and distances in Å follow each position.
Element x y z (fractional)
Zr1 0.0000 0.0000 0.0000  8 Ti 3.08
Ba1 0.5000 0.5000 0.5000  8 Ti 3.08
Ti1 0.7500 0.7500 0.7500  4 Zr 3.08, 4 Ba 3.08
Ti2 0.2500 0.2500 0.2500  4 Zr 3.08, 4 Ba 3.08

Results
Energy of formation   0.8076 eV per atom
Uncorrected energy   -24.7696 eV/atom
Total magnetic moment   0.00 Bohr magnetons per cell
Space-group type   Fm-3m

---

No. 10
LaPS2Cl | SCAN | PBEsol geometry

Cell: 5.3982 5.3982 5.8953 Å, 90.00 90.00 90.00°
Closest atoms and distances in Å follow each position.
Element x y z (fractional)
Cl1 0.5000 0.5000 0.5000  4 P 3.82, 8 S 4.00
P1 0.0000 0.0000 0.5000  2 La 2.95
La1 0.0000 0.0000 0.0000  4 S 2.70, 2 P 2.95
S1 0.5000 0.0000 0.0000  2 La 2.70
S2 0.0000 0.5000 0.0000  2 La 2.70

Results
Uncorrected energy   -15.9743 eV/atom
Total magnetic moment   0.11 Bohr magnetons per cell
ΔE_f (raw)   0.173 eV per atom
Space-group type   P4/mmm

---

No. 11
K3ZnOs | SCAN | PBEsol geometry

Cell: 6.0111 6.0111 6.0111 Å, 90.00 90.00 90.00°
Closest atoms and distances in Å follow each position.
Element x y z (fractional)
K1 0.0000 0.0000 0.5000  2 Zn 3.01
Zn1 0.0000 0.0000 0.0000  6 K 3.01
K2 0.0000 0.5000 0.0000  2 Zn 3.01
Os1 0.5000 0.5000 0.5000  12 K 4.25
K3 0.5000 0.0000 0.0000  2 Zn 3.01

Results
Energy of formation   1.4931 eV per atom
Uncorrected energy   -20.5832 eV/atom
Total magnetic moment   2.41 Bohr magnetons per cell
Space-group type   Pm-3m

---

No. 12
LiMg3 | SCAN | PBEsol geometry

Cell: 3.5267 4.8664 5.6941 Å, 115.23 108.15 89.99°
Closest atoms and distances in Å follow each position.
Element x y z (fractional)
Mg1 0.5000 0.5000 0.0000  4 Li 3.00-3.01, 8 Mg 3.08-3.35
Mg2 0.2620 0.7621 0.5242  2 Li 2.90, 6 Mg 3.01-3.09
Li1 0.0000 0.0000 0.0000  8 Mg 2.90-3.01
Mg3 0.7380 0.2379 0.4758  2 Li 2.90, 6 Mg 3.01-3.09

Results
Energy of formation   -0.0369 eV per atom
Uncorrected energy   -4.3646 eV/atom
Total magnetic moment   0.03 Bohr magnetons per cell
Space-group type   P-1

---

No. 13
Fe3HgAu | SCAN | PBEsol geometry

Cell: 4.6832 4.6832 4.6832 Å, 90.00 90.00 90.00°
Closest atoms and distances in Å follow each position.
Element x y z (fractional)
Fe1 0.0000 0.5000 0.0000  2 Au 2.34
Fe2 0.5000 0.0000 0.0000  2 Au 2.34
Hg1 0.5000 0.5000 0.5000  12 Fe 3.31
Au1 0.0000 0.0000 0.0000  6 Fe 2.34
Fe3 0.0000 0.0000 0.5000  2 Au 2.34

Results
Energy of formation   1.0148 eV per atom
Uncorrected energy   -37.3275 eV/atom
Total magnetic moment   10.15 Bohr magnetons per cell
Space-group type   Pm-3m